No. 1
This record from Alexandria describes an optimized crystal structure of RbMg3Ta. The functional is GGA-PBE.

abc: 5.6819 5.6819 5.6819
angles: 90.00 90.00 90.00
Element x y z (fractional)
Mg 0.0000 0.0000 0.5000
Ta 0.0000 0.0000 0.0000
Rb 0.5000 0.5000 0.5000
Mg 0.0000 0.5000 0.0000
Mg 0.5000 0.0000 0.0000

Summary:
N(E_F) = 4.50 states/eV per cell
DFT formation energy = 0.943 eV/atom
uncorrected energy = -12.9 eV/cell
magnetic moment = 4.01 Bohr magnetons per cell
relative energy among the computed polymorphs = 0 meV/atom


No. 2
This record from Alexandria describes an optimized crystal structure of PmDyTm2Sb4. The functional is GGA-PBE.

abc: 4.3929 7.5979 7.6025
angles: 70.51 90.00 90.00
Element x y z (fractional)
Tm 0.5000 0.0000 0.5000
Sb 0.0000 0.7581 0.7441
Sb 0.5000 0.7558 0.2512
Tm 0.0000 0.0000 0.0000
Sb 0.5000 0.2442 0.7488
Pm 0.5000 0.5000 0.0000
Sb 0.0000 0.2419 0.2559
Dy 0.0000 0.5000 0.5000

Summary:
N(E_F) = 1.11 states/eV per cell
uncorrected energy = -43.7 eV/cell
magnetic moment = 0.00 Bohr magnetons per cell